The following is a PBE calculation of a relaxed structure of BaHgI2O, from the Alexandria database.

Output
Distance to the lowest polymorph of the same formula = 0.0 kJ per mole of atoms
D(E_F) = 0.560 states/eV/atom
Uncorrected formation energy = -803 meV per atom

abc: 6.2106 6.2106 4.2542
angles: 90.00 90.00 90.00
Fractional coordinates of all 5 atoms:
1 O 0.0000 0.0000 0.5000
2 I 0.5000 0.0000 0.0000
3 I 0.0000 0.5000 0.0000
4 Hg 0.0000 0.0000 0.0000
5 Ba 0.5000 0.5000 0.5000